Here is a relaxed structure of Ce2ZnP4Rh3 from Alexandria via LeMat-Bulk. Energies are from GGA-PBE.

Properties
- total DFT energy (no corrections) (eV/atom) = -6.6766
- space group = No. 115
- formation enthalpy at 0 K (eV/atom) = -0.9930
- spin magnetization (μB/f.u.) = 0.441

Cell lengths 4.188, 4.188, 9.561 Å; angles 90.00, 90.00, 90.00 degrees
Element x y z (fractional)
Ce1 0.000 0.500 0.241
Ce2 0.500 0.000 0.759
Zn1 0.000 0.000 0.500
P1 0.000 0.000 0.000
P2 0.000 0.500 0.641
P3 0.500 0.000 0.359
P4 0.500 0.500 0.000
Rh1 0.000 0.500 0.889
Rh2 0.500 0.000 0.111
Rh3 0.500 0.500 0.500